1.
Density functional theory data (PBE-GGA) for a relaxed Np2SnAs2N2 crystal.

Properties
For the formation energy without anion corrections, the calculation gives -0.349 eV per atom. The value obtained for the density of states at the Fermi level is 1.790 states/eV/atom.

Cell: 3.644 3.644 12.458 Å, 90.00 90.00 120.00°
Site moments in Bohr magnetons follow the coordinates.
Positions (direct):
N 0.333 0.667 0.197  -0.16
N 0.667 0.333 0.803  -0.16
Sn 0.000 0.000 0.000  0.06
Np 0.333 0.667 0.758  3.00
Np 0.667 0.333 0.242  3.00
As 0.000 0.000 0.406  -0.02
As 0.000 0.000 0.594  -0.02

=====

2.
Density functional theory data (PBE-GGA) for a relaxed LaBeSbI2 crystal.

Properties
For the formation energy without anion corrections, the calculation gives -0.278 eV per atom. Its energy above the most stable polymorph in this dataset is 0.0 meV/atom. The value obtained for the density of states at the Fermi level is 0.390 states/eV/atom.

Cell: 5.154 5.154 5.467 Å, 90.00 90.00 90.00°
Positions (direct):
Sb 0.000 0.000 0.500
I 0.000 0.500 0.000
I 0.500 0.000 0.000
La 0.500 0.500 0.500
Be 0.000 0.000 0.000

=====

3.
Density functional theory data (PBE-GGA) for a relaxed Pm3GeB2Pt8 crystal.

Properties
The value obtained for the density of states at the Fermi level is 0.475 states/eV/atom. As for the energy of formation from the pure elements: -0.74 eV/atom.

Cell: 5.479 5.479 9.687 Å, 90.00 90.00 120.00°
Positions (direct):
Pm 0.333 0.667 0.588
Pm 0.667 0.333 0.412
Pm 0.000 0.000 0.000
B 0.667 0.333 0.874
B 0.333 0.667 0.126
Ge 0.000 0.000 0.500
Pt 0.832 0.168 0.725
Pt 0.335 0.168 0.725
Pt 0.168 0.335 0.275
Pt 0.333 0.667 0.919
Pt 0.168 0.832 0.275
Pt 0.667 0.333 0.081
Pt 0.665 0.832 0.275
Pt 0.832 0.665 0.725

=====

4.
Density functional theory data (PBE-GGA) for a relaxed KMgTaAl crystal.

Properties
Its energy above the most stable polymorph in this dataset is 606.3 meV/atom. The value obtained for the density of states at the Fermi level is 0.799 states/eV/atom. As for the energy of formation from the pure elements: 0.92 eV/atom.

Cell: 7.170 7.170 7.170 Å, 90.00 90.00 90.00°
Site moments in Bohr magnetons follow the coordinates.
Positions (direct):
Ta 0.500 0.500 0.000  0.79
Ta 0.000 0.500 0.500  0.79
Ta 0.000 0.000 0.000  0.79
Ta 0.500 0.000 0.500  0.79
K 0.500 0.000 0.000  0.02
K 0.000 0.000 0.500  0.02
K 0.000 0.500 0.000  0.02
K 0.500 0.500 0.500  0.02
Mg 0.750 0.250 0.250  0.00
Mg 0.750 0.750 0.750  0.00
Mg 0.250 0.750 0.250  0.00
Mg 0.250 0.250 0.750  0.00
Al 0.750 0.750 0.250  -0.03
Al 0.250 0.250 0.250  -0.03
Al 0.750 0.250 0.750  -0.03
Al 0.250 0.750 0.750  -0.03